[1]
KCdNi2 PBE relaxed; electronic total energy = -12.23 eV/f.u.
1.0
2.8501 0.0000 0.0000
0.0000 3.5283 0.0000
-0.0661 0.0000 8.0878
K Cd Ni
1 1 2
Direct
0.0000 0.0000 0.0000 K
0.4972 0.5000 0.3660 Cd
0.0004 0.0000 0.5944 Ni
0.5011 0.5000 0.6943 Ni

[2]
KCdNi2 PBE relaxed; electronic total energy = -10.48 eV/f.u.
1.0
-2.0740 2.0740 4.3731
2.0740 -2.0740 4.3731
2.0740 2.0740 -4.3731
K Cd Ni
1 1 2
Direct
0.0000 0.0000 0.0000 K
0.7500 0.2500 0.5000 Cd
0.2500 0.7500 0.5000 Ni
0.5000 0.5000 0.0000 Ni

[3]
K2CdNi PBE relaxed; electronic total energy = -7.63 eV/f.u.
1.0
-2.2703 2.8863 5.1022
2.2703 -2.8863 5.1022
2.2703 2.8863 -5.1022
K Cd Ni
2 1 1
Direct
0.0000 0.0000 0.0000 K
0.6961 0.1961 0.5000 K
0.4050 0.4050 0.0000 Cd
0.2954 0.7954 0.5000 Ni

[4]
KCdNi2 PBE relaxed; electronic total energy = -11.24 eV/f.u.
1.0
1.5080 0.8707 9.6030
-1.5080 0.8707 9.6030
0.0000 -1.7413 9.6030
K Cd Ni
1 1 2
Direct
0.0000 0.0000 0.0000 K
0.2229 0.2229 0.2229 Cd
0.4816 0.4816 0.4816 Ni
0.7586 0.7586 0.7586 Ni

[5]
K2CdNi PBE relaxed; electronic total energy = -8.04 eV/f.u.
1.0
3.9115 -2.2591 0.0000
3.9115 2.2591 0.0000
-2.5217 0.0000 8.8356
K Cd Ni
2 1 1
Direct
0.0000 0.0000 0.0000 K
0.1709 0.1709 0.5317 K
0.4187 0.4187 0.2661 Cd
0.7518 0.7518 0.2652 Ni

[6]
KCd2Ni2 PBE relaxed; ΔE to the lowest computed polymorph = 47 meV per atom
1.0
8.2207 0.0000 0.0000
0.0000 8.2207 0.0000
0.0000 0.0000 2.8552
K Cd Ni
2 4 4
Direct
0.0000 0.0000 0.0000 K
0.5000 0.5000 0.0000 K
0.1347 0.3653 0.0000 Cd
0.3653 0.8653 0.0000 Cd
0.6347 0.1347 0.0000 Cd
0.8653 0.6347 0.0000 Cd
0.1574 0.6574 0.5000 Ni
0.3426 0.1574 0.5000 Ni
0.6574 0.8426 0.5000 Ni
0.8426 0.3426 0.5000 Ni

[7]
K2CdNi PBE relaxed; electronic total energy = -7.69 eV/f.u.
1.0
5.1537 0.0000 0.0000
0.0000 4.6339 0.0000
-2.5749 0.0000 6.0095
K Cd Ni
2 1 1
Direct
0.0000 0.0000 0.0000 K
0.2939 0.5000 0.5886 K
0.6015 0.5000 0.2037 Cd
0.6906 0.0000 0.3790 Ni

[8]
KCdNi2 PBE relaxed; electronic total energy = -10.66 eV/f.u.
1.0
5.0666 0.0000 0.0000
0.0000 2.8358 0.0000
-2.4991 0.0000 5.0713
K Cd Ni
1 1 2
Direct
0.0000 0.0000 0.0000 K
0.0000 0.5000 0.5000 Cd
0.5000 0.0000 0.5000 Ni
0.5000 0.5000 0.0000 Ni

| no. | N(E_F) (states/eV/atom) |
| --- | --- |
| 1 | 1.26 |
| 2 | 1.62 |
| 3 | 0.48 |
| 4 | 0.67 |
| 5 | 0.39 |
| 6 | 0.60 |
| 7 | 0.82 |
| 8 | 0.97 |